A plane-wave DFT calculation with GGA-PBE was carried out for a relaxed Li3ZnAg5 crystal.

Results
V ... 16.296 A^3/atom
ΔE to the lowest computed polymorph ... 0 meV/atom
Formation enthalpy at 0 K ... -0.16 eV/atom

Unit cell a=7.8744 b=7.8744 c=5.4625 alpha=90.00 beta=90.00 gamma=120.00
Space group P6_3/mcm (No. 193)
Symmetry-distinct sites (fractional):
1 Li 0.0000 0.3511 0.2500 (multiplicity 6)
2 Zn 0.0000 0.0000 0.0000 (multiplicity 2)
3 Ag 0.0000 0.3118 0.7500 (multiplicity 6)
4 Ag 0.3333 0.6667 0.0000 (multiplicity 4)